Record 1
Entry from OQMD via LeMat-Bulk: MgCdCoS3 after structural relaxation (PBE).

Computed properties:
For the spin magnetization, the calculation gives 3.0 μB per formula unit. The raw total energy is -4.124 eV per atom.

Cell lengths 3.606, 11.983, 10.214 Å; angles 90.00, 90.00, 90.00 degrees
Space group Cmcm (No. 63)
Symmetry-distinct sites (fractional):
1 Mg 0.000 0.239 0.250
2 Cd 0.000 0.000 0.000
3 Co 0.000 0.475 0.750
4 S 0.000 0.094 0.750
5 S 0.000 0.350 0.584

Record 2
Entry from OQMD via LeMat-Bulk: Nd2Ta after structural relaxation (PBE).

Computed properties:
For the spin magnetization, the calculation gives 0.3 μB per formula unit. The raw total energy is -5.986 eV per atom.

Cell lengths 8.687, 8.687, 8.687 Å; angles 90.00, 90.00, 90.00 degrees
Space group Fd-3m (No. 227, origin choice 2)
Symmetry-distinct sites (fractional):
1 Nd 0.000 0.000 0.000
2 Ta 0.125 0.125 0.625

Record 3
Entry from OQMD via LeMat-Bulk: PrHgPO after structural relaxation (PBE).

Computed properties:
For the spin magnetization, the calculation gives 0.0 μB per formula unit. The raw total energy is -4.984 eV per atom.

Cell lengths 4.277, 4.277, 4.758 Å; angles 90.00, 90.00, 90.00 degrees
Space group P4/mmm (No. 123)
Symmetry-distinct sites (fractional):
1 Pr 0.000 0.000 0.000
2 Hg 0.500 0.500 0.500
3 P 0.500 0.500 0.000
4 O 0.000 0.000 0.500

Record 4
Entry from OQMD via LeMat-Bulk: Sc2Ir after structural relaxation (PBE).

Computed properties:
For the spin magnetization, the calculation gives 0.1 μB per formula unit. The raw total energy is -7.931 eV per atom.

Cell lengths 12.258, 12.258, 12.258 Å; angles 90.00, 90.00, 90.00 degrees
Space group Fd-3m (No. 227, origin choice 2)
Symmetry-distinct sites (fractional):
1 Sc 0.000 0.000 0.000
2 Sc 0.063 0.375 0.875
3 Ir 0.034 0.034 0.216

Record 5
Entry from OQMD via LeMat-Bulk: PrY2Al3Ni3 after structural relaxation (PBE).

Computed properties:
For the spin magnetization, the calculation gives 0.0 μB per formula unit. The raw total energy is -5.633 eV per atom.

Cell lengths 3.878, 12.184, 7.145 Å; angles 90.00, 90.00, 90.00 degrees
Space group Amm2 (No. 38)
Symmetry-distinct sites (fractional):
1 Pr 0.000 0.000 0.000
2 Y 0.000 0.208 0.629
3 Al 0.500 0.000 0.647
4 Al 0.500 0.120 0.308
5 Ni 0.000 0.000 0.422
6 Ni 0.500 0.170 0.919

Record 6
Entry from OQMD via LeMat-Bulk: GdEr2Mg3InGa2 after structural relaxation (PBE).

Computed properties:
For the spin magnetization, the calculation gives 0.0 μB per formula unit. The raw total energy is -3.480 eV per atom.

Cell lengths 4.546, 12.695, 7.283 Å; angles 90.00, 90.00, 90.00 degrees
Space group Amm2 (No. 38)
Symmetry-distinct sites (fractional):
1 Gd 0.000 0.000 0.000
2 Er 0.000 0.219 0.343
3 Mg 0.500 0.000 0.312
4 Mg 0.500 0.125 0.686
5 In 0.000 0.000 0.559
6 Ga 0.500 0.168 0.062

Record 7
Entry from OQMD via LeMat-Bulk: CsBaCu after structural relaxation (PBE).

Computed properties:
The raw total energy is -1.874 eV per atom.

Cell lengths 8.242, 8.242, 8.242 Å; angles 90.00, 90.00, 90.00 degrees
Space group F-43m (No. 216)
Symmetry-distinct sites (fractional):
1 Cs 0.000 0.000 0.000
2 Ba 0.000 0.000 0.500
3 Cu 0.250 0.250 0.750

Record 8
Entry from OQMD via LeMat-Bulk: ZnNiW4N2 after structural relaxation (PBE).

Computed properties:
For the spin magnetization, the calculation gives 0.0 μB per formula unit. The raw total energy is -9.322 eV per atom.

Cell lengths 2.8035, 2.8035, 14.6856 Å; angles 90.00, 90.00, 120.00 degrees
Space group P-6m2 (No. 187)
Symmetry-distinct sites (fractional):
1 Zn 0.0000 0.0000 0.0000
2 Ni 0.3333 0.6667 0.5000
3 W 0.0000 0.0000 0.3547
4 W 0.3333 0.6667 0.1552
5 N 0.6667 0.3333 0.2534